! K8NbSnAs5 | the Alexandria database | PBE-GGA | optimized geometry; values from VASP
&SYSTEM
  ibrav = 0, nat = 60, ntyp = 4
/
ATOMIC_SPECIES
K 39.10 K.upf
Nb 92.91 Nb.upf
Sn 118.71 Sn.upf
As 74.92 As.upf
CELL_PARAMETERS angstrom
-11.3149 -0.2523 -12.1019
-11.6039 -8.7592 -7.9481
-10.2648 4.1782 7.8426
ATOMIC_POSITIONS crystal
K 0.4798 0.8149 0.0435
K 0.1851 0.5202 0.4565
K 0.5202 0.1851 0.9565
K 0.8149 0.4798 0.5435
K 0.2808 0.1860 0.9449
K 0.8140 0.7192 0.5551
K 0.7192 0.8140 0.0551
K 0.1860 0.2808 0.4449
K 0.3956 0.7315 0.7925
K 0.2685 0.6044 0.7075
K 0.6044 0.2685 0.2075
K 0.7315 0.3956 0.2925
K 0.6392 0.7131 0.7856
K 0.2869 0.3608 0.7144
K 0.3608 0.2869 0.2144
K 0.7131 0.6392 0.2856
K 0.0143 0.0647 0.8816
K 0.9353 0.9857 0.6184
K 0.9857 0.9353 0.1184
K 0.0647 0.0143 0.3816
K 0.0741 0.1558 0.1028
K 0.8442 0.9259 0.3972
K 0.9259 0.8442 0.8972
K 0.1558 0.0741 0.6028
K 0.5939 0.3647 0.8957
K 0.6353 0.4061 0.6043
K 0.4061 0.6353 0.1043
K 0.3647 0.5939 0.3957
K 0.9339 0.6183 0.8315
K 0.3817 0.0661 0.6685
K 0.0661 0.3817 0.1685
K 0.6183 0.9339 0.3315
Nb 0.9981 0.3143 0.8185
Nb 0.6857 0.0019 0.6815
Nb 0.0019 0.6857 0.1815
Nb 0.3143 0.9981 0.3185
Sn 0.7154 0.4662 0.9618
Sn 0.5338 0.2846 0.5382
Sn 0.2846 0.5338 0.0382
Sn 0.4662 0.7154 0.4618
As 0.7862 0.2742 0.0766
As 0.7258 0.2138 0.4234
As 0.2138 0.7258 0.9234
As 0.2742 0.7862 0.5766
As 0.8799 0.4696 0.9730
As 0.5304 0.1201 0.5270
As 0.1201 0.5304 0.0270
As 0.4696 0.8799 0.4730
As 0.0304 0.3992 0.6850
As 0.6008 0.9696 0.8150
As 0.9696 0.6008 0.3150
As 0.3992 0.0304 0.1850
As 0.2385 0.0429 0.8512
As 0.9571 0.7615 0.6488
As 0.7615 0.9571 0.1488
As 0.0429 0.2385 0.3512
As 0.7985 0.3858 0.7661
As 0.6142 0.2015 0.7339
As 0.2015 0.6142 0.2339
As 0.3858 0.7985 0.2661
! VASP energy ... -3.57 eV/atom
! ΔE_f ... -0.50 eV per atom
! Space group ... No. 15
! Theoretical density ... 2.9 Mg/m³


! K3Th2NbAs6 | the Alexandria database | PBE-GGA | optimized geometry; values from VASP
&SYSTEM
  ibrav = 0, nat = 12, ntyp = 4
/
ATOMIC_SPECIES
K 39.10 K.upf
Th 232.04 Th.upf
Nb 92.91 Nb.upf
As 74.92 As.upf
CELL_PARAMETERS angstrom
7.2223 -0.0058 -0.0032
-3.6144 6.2528 -0.0032
-1.2066 -2.0893 7.9022
ATOMIC_POSITIONS crystal
K 0.1726 0.8274 0.5000
K 0.8274 0.1726 0.5000
K 0.5000 0.5000 0.5000
Th 0.3338 0.6662 0.0000
Th 0.6662 0.3338 0.0000
Nb 0.0000 0.0000 0.0000
As 0.9346 0.6313 0.8034
As 0.7644 0.7644 0.1980
As 0.0654 0.3687 0.1966
As 0.6313 0.9346 0.8034
As 0.2356 0.2356 0.8020
As 0.3687 0.0654 0.1966
! VASP energy ... -5.31 eV/atom
! ΔE_f ... -0.63 eV per atom
! Space group ... No. 12
! Theoretical density ... 5.2 Mg/m³


! K6NbTlAs4 | the Alexandria database | PBE-GGA | optimized geometry; values from VASP
&SYSTEM
  ibrav = 0, nat = 48, ntyp = 4
/
ATOMIC_SPECIES
As 74.92 As.upf
K 39.10 K.upf
Nb 92.91 Nb.upf
Tl 204.38 Tl.upf
CELL_PARAMETERS angstrom
-2.0586 -7.0125 2.6927
9.5848 -1.2684 4.0244
-5.8422 8.0296 16.4447
ATOMIC_POSITIONS crystal
As 0.7006 0.4456 0.6018
As 0.7994 0.4456 0.1018
As 0.7006 0.0544 0.6018
As 0.7726 0.7500 0.8316
As 0.3093 0.7500 0.2075
As 0.6907 0.2500 0.7925
As 0.2006 0.9456 0.8982
As 0.2006 0.5544 0.8982
As 0.2994 0.9456 0.3982
As 0.7274 0.7500 0.3316
As 0.8093 0.2500 0.2925
As 0.2994 0.5544 0.3982
As 0.2726 0.2500 0.6684
As 0.1907 0.7500 0.7075
As 0.2274 0.2500 0.1684
As 0.7994 0.0544 0.1018
K 0.6969 0.7500 0.1559
K 0.4808 0.9551 0.7584
K 0.1969 0.2500 0.3441
K 0.5684 0.7500 0.5011
K 0.8031 0.7500 0.6559
K 0.9808 0.4551 0.7416
K 0.7206 0.0249 0.9207
K 0.9808 0.0449 0.7416
K 0.3031 0.2500 0.8441
K 0.5192 0.0449 0.2416
K 0.0192 0.9551 0.2584
K 0.0192 0.5449 0.2584
K 0.2794 0.9751 0.0793
K 0.5192 0.4551 0.2416
K 0.0684 0.2500 0.9989
K 0.7794 0.4751 0.4207
K 0.7794 0.0249 0.4207
K 0.4316 0.2500 0.4989
K 0.2794 0.5249 0.0793
K 0.2206 0.9751 0.5793
K 0.2206 0.5249 0.5793
K 0.9316 0.7500 0.0011
K 0.7206 0.4751 0.9207
K 0.4808 0.5449 0.7584
Nb 0.0921 0.7500 0.8316
Nb 0.4079 0.7500 0.3316
Nb 0.5921 0.2500 0.6684
Nb 0.9079 0.2500 0.1684
Tl 0.0630 0.7500 0.4465
Tl 0.9370 0.2500 0.5535
Tl 0.5630 0.2500 0.0535
Tl 0.4370 0.7500 0.9465
! VASP energy ... -3.62 eV/atom
! ΔE_f ... -0.48 eV per atom
! Space group ... No. 62
! Theoretical density ... 3.5 Mg/m³


! KNdAs | the Alexandria database | PBE-GGA | optimized geometry; values from VASP
&SYSTEM
  ibrav = 0, nat = 12, ntyp = 3
/
ATOMIC_SPECIES
Nd 144.24 Nd.upf
K 39.10 K.upf
As 74.92 As.upf
CELL_PARAMETERS angstrom
-1.9134 -0.3268 3.4898
-2.2157 -7.3473 -1.9028
10.9837 -4.7566 5.5768
ATOMIC_POSITIONS crystal
Nd 0.7500 0.4002 0.8138
Nd 0.2500 0.0998 0.3138
Nd 0.2500 0.5998 0.1862
Nd 0.7500 0.9002 0.6862
K 0.7500 0.3117 0.5526
K 0.2500 0.1883 0.0526
K 0.2500 0.6883 0.4474
K 0.7500 0.8117 0.9474
As 0.7500 0.3743 0.2856
As 0.2500 0.1257 0.7856
As 0.2500 0.6257 0.7144
As 0.7500 0.8743 0.2144
! VASP energy ... -4.14 eV/atom
! ΔE_f ... -0.64 eV per atom
! Space group ... No. 62
! Theoretical density ... 4.1 Mg/m³


! KNdAs2O6 | the Alexandria database | PBE-GGA | optimized geometry; values from VASP
&SYSTEM
  ibrav = 0, nat = 20, ntyp = 4
/
ATOMIC_SPECIES
K 39.10 K.upf
Nd 144.24 Nd.upf
As 74.92 As.upf
O 16.00 O.upf
CELL_PARAMETERS angstrom
7.2088 0.5076 0.1131
-0.3788 7.2167 0.1131
-1.8189 -2.0570 6.3472
ATOMIC_POSITIONS crystal
K 0.2014 0.7986 0.2500
K 0.7986 0.2014 0.7500
Nd 0.6028 0.3972 0.2500
Nd 0.3972 0.6028 0.7500
As 0.2705 0.1240 0.7618
As 0.8760 0.7295 0.7382
As 0.7295 0.8760 0.2382
As 0.1240 0.2705 0.2618
O 0.9093 0.3861 0.2045
O 0.6139 0.0907 0.2955
O 0.0907 0.6139 0.7955
O 0.3861 0.9093 0.7045
O 0.1728 0.1458 0.0055
O 0.8542 0.8272 0.4945
O 0.8272 0.8542 0.9945
O 0.1458 0.1728 0.5055
O 0.3079 0.4611 0.3719
O 0.5389 0.6921 0.1281
O 0.6921 0.5389 0.6281
O 0.4611 0.3079 0.8719
! VASP energy ... -6.34 eV/atom
! Formation energy (no corrections) ... -1846 meV per atom
! Space group ... No. 15
! Theoretical density ... 4.3 Mg/m³


! K2NdAs2O6 | the Alexandria database | PBE-GGA | optimized geometry; values from VASP
&SYSTEM
  ibrav = 0, nat = 11, ntyp = 4
/
ATOMIC_SPECIES
K 39.10 K.upf
Nd 144.24 Nd.upf
As 74.92 As.upf
O 16.00 O.upf
CELL_PARAMETERS angstrom
6.1034 0.0000 0.0000
-3.0517 5.0040 -0.1938
0.0000 -3.0299 6.7013
ATOMIC_POSITIONS crystal
K 0.7067 0.4135 0.1726
K 0.2933 0.5865 0.8274
Nd 0.5000 0.0000 0.5000
As 0.9388 0.8775 0.7836
As 0.0612 0.1225 0.2164
O 0.7570 0.5139 0.5826
O 0.1976 0.9322 0.2458
O 0.2654 0.0678 0.7542
O 0.8024 0.0678 0.7542
O 0.7346 0.9322 0.2458
O 0.2430 0.4861 0.4174
! VASP energy ... -6.08 eV/atom
! Formation energy (no corrections) ... -1895 meV per atom
! Space group ... No. 12
! Theoretical density ... 3.9 Mg/m³


! K4Nd3AsO8 | the Alexandria database | PBE-GGA | optimized geometry; values from VASP
&SYSTEM
  ibrav = 0, nat = 16, ntyp = 4
/
ATOMIC_SPECIES
K 39.10 K.upf
Nd 144.24 Nd.upf
As 74.92 As.upf
O 16.00 O.upf
CELL_PARAMETERS angstrom
7.1292 0.0000 0.0000
0.0000 7.5065 0.2565
-3.5646 -3.5577 5.0461
ATOMIC_POSITIONS crystal
K 0.5000 0.0000 0.0000
K 0.5000 0.0000 0.5000
K 0.0000 0.0000 0.0000
K 0.0000 0.0000 0.5000
Nd 0.5000 0.5000 0.0000
Nd 0.5000 0.5000 0.5000
Nd 0.0000 0.5000 0.5000
As 0.0000 0.5000 0.0000
O 0.2237 0.6903 0.9666
O 0.2238 0.6904 0.4475
O 0.2691 0.3072 0.5381
O 0.7429 0.6903 0.9666
O 0.2571 0.3097 0.0334
O 0.7309 0.6928 0.4619
O 0.7762 0.3096 0.5525
O 0.7763 0.3097 0.0334
! VASP energy ... -6.14 eV/atom
! Formation energy (no corrections) ... -2206 meV per atom
! Space group ... No. 166
! Theoretical density ... 4.8 Mg/m³


! K3NdAs2S8 | the Alexandria database | PBE-GGA | optimized geometry; values from VASP
&SYSTEM
  ibrav = 0, nat = 28, ntyp = 4
/
ATOMIC_SPECIES
K 39.10 K.upf
Nd 144.24 Nd.upf
As 74.92 As.upf
S 32.06 S.upf
CELL_PARAMETERS angstrom
-0.3429 -1.3231 10.9892
7.0948 -5.4947 -6.4888
8.1177 3.1977 2.6913
ATOMIC_POSITIONS crystal
K 0.0030 0.9970 0.2500
K 0.9970 0.0030 0.7500
K 0.2541 0.7459 0.2500
K 0.5000 0.5000 0.0000
K 0.7459 0.2541 0.7500
K 0.5000 0.5000 0.5000
Nd 0.2428 0.7572 0.7500
Nd 0.7572 0.2428 0.2500
As 0.9066 0.6574 0.1029
As 0.0934 0.3426 0.8971
As 0.6574 0.9066 0.6029
As 0.3426 0.0934 0.3971
S 0.8431 0.1305 0.0225
S 0.2692 0.2389 0.3712
S 0.8625 0.5064 0.3430
S 0.5064 0.8625 0.8430
S 0.4714 0.1269 0.5556
S 0.7611 0.7308 0.1288
S 0.1375 0.4936 0.6570
S 0.5286 0.8731 0.4444
S 0.1305 0.8431 0.5225
S 0.8731 0.5286 0.9444
S 0.1269 0.4714 0.0556
S 0.7308 0.7611 0.6288
S 0.4936 0.1375 0.1570
S 0.1569 0.8695 0.9775
S 0.8695 0.1569 0.4775
S 0.2389 0.2692 0.8712
! VASP energy ... -4.52 eV/atom
! Formation energy (no corrections) ... -917 meV per atom
! Space group ... No. 15
! Theoretical density ... 2.7 Mg/m³


! K4Nd3AsS8 | the Alexandria database | PBE-GGA | optimized geometry; values from VASP
&SYSTEM
  ibrav = 0, nat = 16, ntyp = 4
/
ATOMIC_SPECIES
K 39.10 K.upf
Nd 144.24 Nd.upf
As 74.92 As.upf
S 32.06 S.upf
CELL_PARAMETERS angstrom
-3.5134 5.6125 4.9137
-7.3772 -0.4669 -4.7416
2.9945 -6.9840 3.2000
ATOMIC_POSITIONS crystal
K 0.5000 0.0000 0.0000
K 0.5000 0.0000 0.5000
K 0.0000 0.0000 0.0000
K 0.0000 0.0000 0.5000
Nd 0.5000 0.5000 0.0000
Nd 0.5000 0.5000 0.5000
Nd 0.0000 0.5000 0.5000
As 0.0000 0.5000 0.0000
S 0.2245 0.7005 0.9760
S 0.2246 0.7006 0.4492
S 0.2633 0.2898 0.5265
S 0.7515 0.7005 0.9760
S 0.2485 0.2995 0.0240
S 0.7367 0.7102 0.4735
S 0.7754 0.2994 0.5508
S 0.7755 0.2995 0.0240
! VASP energy ... -5.02 eV/atom
! Formation energy (no corrections) ... -1498 meV per atom
! Space group ... No. 166
! Theoretical density ... 3.5 Mg/m³


! K2NdAsSe4 | the Alexandria database | PBE-GGA | optimized geometry; values from VASP
&SYSTEM
  ibrav = 0, nat = 16, ntyp = 4
/
ATOMIC_SPECIES
K 39.10 K.upf
Nd 144.24 Nd.upf
As 74.92 As.upf
Se 78.96 Se.upf
CELL_PARAMETERS angstrom
8.6959 -0.0015 -0.1585
-0.0076 8.6959 -0.1585
-4.3697 -4.3728 6.3067
ATOMIC_POSITIONS crystal
K 0.5000 0.0000 0.0000
K 0.5000 0.0000 0.5000
K 0.0000 0.0000 0.5000
K 0.5000 0.5000 0.0000
Nd 0.0000 0.5000 0.0000
Nd 0.0000 0.5000 0.5000
As 0.5000 0.5000 0.5000
As 0.0000 0.0000 0.0000
Se 0.2097 0.7534 0.9815
Se 0.7466 0.2903 0.5185
Se 0.2534 0.7097 0.4815
Se 0.7903 0.2466 0.0185
Se 0.7585 0.7414 0.9589
Se 0.7586 0.7415 0.5411
Se 0.2414 0.2585 0.4589
Se 0.2415 0.2586 0.0411
! VASP energy ... -4.28 eV/atom
! Formation energy (no corrections) ... -1088 meV per atom
! Space group ... No. 74
! Theoretical density ... 4.4 Mg/m³


! KNiAs | the Alexandria database | PBE-GGA | optimized geometry; values from VASP
&SYSTEM
  ibrav = 0, nat = 12, ntyp = 3
/
ATOMIC_SPECIES
K 39.10 K.upf
As 74.92 As.upf
Ni 58.69 Ni.upf
CELL_PARAMETERS angstrom
-0.7557 -2.8650 5.8787
1.8215 -5.9363 -2.6589
7.2239 -1.5303 0.1829
ATOMIC_POSITIONS crystal
K 0.8711 0.7989 0.8696
K 0.3711 0.7011 0.6304
K 0.1289 0.2011 0.1304
K 0.6289 0.2989 0.3696
As 0.8453 0.7627 0.4083
As 0.3453 0.7373 0.0917
As 0.1547 0.2373 0.5917
As 0.6547 0.2627 0.9083
Ni 0.6114 0.9128 0.1590
Ni 0.1114 0.5872 0.3410
Ni 0.3886 0.0872 0.8410
Ni 0.8886 0.4128 0.6590
! VASP energy ... -4.18 eV/atom
! ΔE_f ... -0.34 eV per atom
! Space group ... No. 14
! Theoretical density ... 3.9 Mg/m³


! K2NiAs2 | the Alexandria database | PBE-GGA | optimized geometry; values from VASP
&SYSTEM
  ibrav = 0, nat = 10, ntyp = 3
/
ATOMIC_SPECIES
As 74.92 As.upf
K 39.10 K.upf
Ni 58.69 Ni.upf
CELL_PARAMETERS angstrom
-0.6420 0.6451 7.7256
-4.0659 -4.4467 -4.9202
3.8691 -4.2899 0.6798
ATOMIC_POSITIONS crystal
As 0.0832 0.2844 0.2500
As 0.9168 0.7156 0.7500
As 0.7156 0.9168 0.2500
As 0.2844 0.0832 0.7500
K 0.2078 0.7922 0.2500
K 0.7922 0.2078 0.7500
K 0.5887 0.4113 0.2500
K 0.4113 0.5887 0.7500
Ni 0.0000 0.0000 0.0000
Ni 0.0000 0.0000 0.5000
! Energy above the lowest structure with this stoichiometry ... 0.000 eV per atom
! VASP energy ... -3.88 eV/atom
! ΔE_f ... -0.43 eV per atom
! Space group ... No. 63
! Theoretical density ... 3.5 Mg/m³


Which value of theoretical density does entry 5 give? 4.3 Mg/m³


Number 1 is which compound? K8NbSnAs5


Look up the VASP energy of the third one. -3.62 eV/atom